Below is an optimized crystal structure of MgZn2Rh, with properties calculated at the GGA-PBEsol level.

Summary:
Size of the total moment: 0.0 μB per formula unit
Electronic total energy: -14.1 eV for the cell shown
Energy of formation from the pure elements: -0.280 eV per atom

a b c (Å): 2.976 3.528 5.596
angles (deg): 90.00 90.00 90.00
Fractional coordinates of all 4 atoms:
Zn: 0.000 0.000 0.725
Zn: 0.000 0.000 0.275
Rh: 0.500 0.500 0.500
Mg: 0.500 0.500 0.000

=====

Below is an optimized crystal structure of MgZn2Rh2, with properties calculated at the GGA-PBEsol level.

Summary:
Size of the total moment: 0.0 μB per formula unit
Electronic total energy: -21.6 eV for the cell shown
Energy of formation from the pure elements: -0.096 eV per atom
Relative energy among the computed polymorphs: 1.13 eV per formula unit

a b c (Å): 3.634 3.634 6.502
angles (deg): 106.23 106.23 90.00
Fractional coordinates of all 5 atoms:
Zn: 0.250 0.750 0.500
Zn: 0.750 0.250 0.500
Rh: 0.394 0.394 0.788
Rh: 0.606 0.606 0.212
Mg: 0.000 0.000 0.000

=====

Below is an optimized crystal structure of MgZn4Rh, with properties calculated at the GGA-PBEsol level.

Summary:
Size of the total moment: 0.0 μB per formula unit
Electronic total energy: -17.7 eV for the cell shown
Energy of formation from the pure elements: -0.245 eV per atom

a b c (Å): 4.924 4.924 4.924
angles (deg): 60.00 60.00 60.00
Fractional coordinates of all 6 atoms:
Zn: 0.374 0.374 0.374
Zn: 0.374 0.374 0.877
Zn: 0.877 0.374 0.374
Zn: 0.374 0.877 0.374
Rh: 0.000 0.000 0.000
Mg: 0.750 0.750 0.750

=====

Below is an optimized crystal structure of MgZrRh, with properties calculated at the GGA-PBEsol level.

Summary:
Size of the total moment: 0.0 μB per formula unit
Electronic total energy: -20.2 eV for the cell shown
Energy of formation from the pure elements: -0.405 eV per atom

a b c (Å): 3.154 3.154 5.930
angles (deg): 105.42 105.42 90.00
Fractional coordinates of all 3 atoms:
Mg: 0.022 0.022 0.044
Rh: 0.668 0.668 0.337
Zr: 0.310 0.310 0.620

=====

Below is an optimized crystal structure of MgZrRh, with properties calculated at the GGA-PBEsol level.

Summary:
Size of the total moment: 0.0 μB per formula unit
Electronic total energy: -17.5 eV for the cell shown
Energy of formation from the pure elements: 0.466 eV per atom

a b c (Å): 4.351 4.351 4.351
angles (deg): 60.00 60.00 60.00
Fractional coordinates of all 3 atoms:
Mg: 0.250 0.250 0.250
Rh: 0.000 0.000 0.000
Zr: 0.500 0.500 0.500

=====

Below is an optimized crystal structure of Mg3Ru, with properties calculated at the GGA-PBEsol level.

Summary:
Size of the total moment: 0.0 μB per formula unit
Electronic total energy: -90.4 eV for the cell shown
Energy of formation from the pure elements: 0.063 eV per atom

a b c (Å): 7.841 7.841 8.243
angles (deg): 90.00 90.00 120.00
Fractional coordinates of all 24 atoms:
Mg: 0.627 0.627 0.599
Mg: 0.000 0.373 0.599
Mg: 0.373 0.000 0.599
Mg: 0.373 0.373 0.099
Mg: 0.000 0.627 0.099
Mg: 0.627 0.000 0.099
Mg: 0.285 0.285 0.760
Mg: 0.000 0.715 0.760
Mg: 0.715 0.000 0.760
Mg: 0.715 0.715 0.260
Mg: 0.000 0.285 0.260
Mg: 0.285 0.000 0.260
Mg: 0.667 0.333 0.877
Mg: 0.333 0.667 0.377
Mg: 0.667 0.333 0.377
Mg: 0.333 0.667 0.877
Mg: 0.000 0.000 0.001
Mg: 0.000 0.000 0.501
Ru: 0.672 0.672 0.929
Ru: 0.000 0.328 0.929
Ru: 0.328 0.000 0.929
Ru: 0.328 0.328 0.429
Ru: 0.000 0.672 0.429
Ru: 0.672 0.000 0.429

=====

Below is an optimized crystal structure of Mg8Ru, with properties calculated at the GGA-PBEsol level.

Summary:
Size of the total moment: 0.0 μB per formula unit
Electronic total energy: -23.6 eV for the cell shown
Energy of formation from the pure elements: 0.036 eV per atom

a b c (Å): 3.535 7.353 7.353
angles (deg): 86.69 76.09 76.09
Fractional coordinates of all 9 atoms:
Mg: 0.352 0.000 0.296
Mg: 0.648 0.000 0.704
Mg: 0.671 0.329 0.329
Mg: 0.352 0.296 0.000
Mg: 0.000 0.329 0.671
Mg: 0.648 0.704 0.000
Mg: 0.329 0.671 0.671
Mg: 0.000 0.671 0.329
Ru: 0.000 0.000 0.000

=====

Below is an optimized crystal structure of Mg3Ru, with properties calculated at the GGA-PBEsol level.

Summary:
Size of the total moment: 0.0 μB per formula unit
Electronic total energy: -14.9 eV for the cell shown
Energy of formation from the pure elements: 0.117 eV per atom

a b c (Å): 3.605 4.351 4.351
angles (deg): 90.00 90.00 90.00
Fractional coordinates of all 4 atoms:
Mg: 0.500 0.000 0.500
Mg: 0.500 0.500 0.000
Mg: 0.000 0.500 0.500
Ru: 0.000 0.000 0.000

=====

> The lowest energy of formation from the pure elements belongs to which entry?

number 4

=====

> The highest energy of formation from the pure elements belongs to which entry?

number 5